No. 1
PBE-GGA CsNa2PSe4, optimized geometry; energy relative to the elements, uncorrected = -6.38 eV/f.u.
1.0
6.964 0.706 0.000
-1.788 6.767 0.000
-2.588 -3.736 5.323
P Se Cs Na
1 4 1 2
Cartesian
0.000 0.000 0.000
0.446 6.750 0.000
-0.716 -1.034 1.847
6.161 2.792 0.000
1.871 2.702 3.476
2.588 3.736 0.000
-0.894 3.383 2.661
3.482 0.353 2.661

No. 2
PBE-GGA CsNaPSe4, optimized geometry; energy relative to the elements, uncorrected = -4.21 eV/f.u.
1.0
-4.685 4.705 -2.956
0.888 -2.802 -5.867
-5.492 -8.427 3.193
Se Cs Na P
8 2 2 2
Cartesian
-2.092 -1.561 -5.075
-1.421 -3.609 -2.065
-1.842 -2.281 0.715
-4.385 -4.195 -4.164
-4.904 -2.328 -1.465
-7.447 -4.242 -6.344
-7.198 -4.962 -0.554
-7.868 -2.914 -3.564
-8.261 -6.629 -3.588
-1.028 0.106 -2.041
-5.416 -1.835 -5.447
-3.873 -4.688 -0.182
-2.230 -3.550 -4.146
-7.060 -2.973 -1.483

No. 3
PBE-GGA CsNaSiP2, optimized geometry; energy relative to the elements, uncorrected = -1.40 eV/f.u.
1.0
-3.429 -1.444 1.103
0.513 -1.662 -7.406
4.542 -8.113 3.500
P Si Cs Na
4 2 2 2
Cartesian
-2.404 -3.089 -4.692
4.031 -8.129 1.888
2.281 -7.774 -3.088
-0.654 -3.445 0.284
0.554 -1.419 -0.134
1.073 -9.800 -2.669
0.898 -6.623 0.945
0.729 -4.596 -3.749
-1.803 -2.414 -1.940
3.430 -8.804 -0.863

No. 4
PBE-GGA Cs3Na2SnP3, optimized geometry; formation energy from the elements = -3.567 eV/f.u.
1.0
-8.742 -5.764 -2.926
10.145 -0.961 3.787
-5.702 0.793 15.477
Cs Na P Sn
12 8 12 4
Cartesian
-4.358 -0.913 12.914
-1.458 -1.543 5.206
-2.841 -4.388 11.133
-3.824 -2.183 1.749
-0.297 -0.509 11.772
2.308 -3.818 6.809
-6.607 -2.114 9.529
2.486 -0.578 3.991
-4.002 -5.423 4.567
-0.474 -3.749 14.590
-6.785 -5.354 12.347
0.059 -5.019 3.424
-0.627 -2.579 8.710
8.623 -1.348 3.246
2.491 -1.786 9.818
-3.672 -3.353 7.628
-6.789 -4.146 6.520
-7.219 -5.376 -2.385
-4.102 -4.584 -1.276
5.505 -2.141 2.138
-0.051 -1.947 1.537
-4.247 -3.985 14.801
-5.244 -5.545 8.771
0.695 -4.035 10.882
-4.994 -1.897 5.456
-1.258 -5.044 7.148
-2.483 -5.510 0.977
-1.816 -0.422 15.361
-3.041 -0.888 9.191
3.456 -4.000 3.088
-7.755 -1.932 13.250
0.945 -0.386 7.567
-0.948 -3.782 -0.156
5.645 -0.984 10.939
2.352 -2.943 1.017
-9.943 -4.948 5.399

No. 5
PBE-GGA CsNa2TlP, optimized geometry; formation energy from the elements = -0.207 eV/f.u.
1.0
5.580 0.000 0.000
0.000 5.580 0.000
0.000 0.000 6.037
P Na Tl Cs
1 2 1 1
Cartesian
0.000 0.000 0.000
2.790 0.000 0.000
0.000 2.790 0.000
0.000 0.000 3.019
2.790 2.790 3.019

No. 6
PBE-GGA Cs2NaZnP2, optimized geometry; formation energy from the elements = -1.698 eV/f.u.
1.0
-3.437 -3.028 -5.126
-1.524 -5.004 3.978
-4.315 7.889 2.842
Cs Na P Zn
4 2 4 2
Cartesian
-3.630 3.343 2.814
-5.646 -3.486 -1.120
-3.128 0.563 -0.490
-6.148 -0.707 2.184
-0.381 -1.251 0.995
-1.143 -3.753 2.984
-5.802 1.373 4.932
-3.473 -1.517 -3.238
-6.422 2.657 0.882
-2.854 -2.801 0.812
-2.099 -2.765 -1.568
-2.861 -5.267 0.421